No. 1
An optimized crystal structure of LaPmGd. Source: Alexandria, functional PBE.

Unit cell a=3.558 b=5.806 c=5.806 alpha=120.00 beta=90.00 gamma=90.00
Site moments in Bohr magnetons follow the coordinates.
Element x y z (fractional)
La 0.667 0.333 0.667  0.01
Pm 0.166 0.667 0.333  0.02
Gd 0.168 0.000 0.000  7.23

Results
As for the magnetization: 7.61 μB/cell. For the uncorrected energy, the calculation gives -7.873 eV per atom. Its space group is P3m1. The energy above the lowest structure with this stoichiometry is 0.034 eV/atom. Its formation energy is 47 meV per atom. Its crystal system is trigonal.



No. 2
An optimized crystal structure of AcGe3Os. Source: Alexandria, functional PBE.

Unit cell a=4.370 b=8.712 c=11.121 alpha=90.00 beta=90.00 gamma=90.00
Element x y z (fractional)
Os 0.750 0.423 0.156
Os 0.250 0.077 0.656
Os 0.750 0.923 0.344
Os 0.250 0.577 0.844
Ac 0.750 0.801 0.031
Ac 0.250 0.199 0.969
Ac 0.750 0.301 0.469
Ac 0.250 0.699 0.531
Ge 0.750 0.945 0.581
Ge 0.750 0.126 0.181
Ge 0.250 0.874 0.819
Ge 0.250 0.840 0.239
Ge 0.750 0.445 0.919
Ge 0.750 0.660 0.739
Ge 0.250 0.055 0.419
Ge 0.250 0.340 0.261
Ge 0.250 0.555 0.081
Ge 0.250 0.374 0.681
Ge 0.750 0.626 0.319
Ge 0.750 0.160 0.761

Results
As for the magnetization: 0.00 μB/cell. For the uncorrected energy, the calculation gives -6.218 eV per atom. Its space group is Pnma. The energy above the lowest structure with this stoichiometry is 0.111 eV/atom. Its formation energy is -380 meV per atom. Its crystal system is orthorhombic.



No. 3
An optimized crystal structure of LiSm2ScS4. Source: Alexandria, functional PBE.

Unit cell a=3.878 b=6.736 c=6.641 alpha=109.53 beta=90.00 gamma=90.00
Element x y z (fractional)
S 0.000 0.746 0.229
S 0.000 0.254 0.771
S 0.500 0.242 0.227
S 0.500 0.758 0.773
Sm 0.500 0.000 0.500
Sm 0.000 0.500 0.500
Li 0.500 0.500 0.000
Sc 0.000 0.000 0.000

Results
As for the magnetization: 0.00 μB/cell. For the uncorrected energy, the calculation gives -6.157 eV per atom. The uncorrected formation energy comes out at -1.883 eV per atom. Its space group is P2/m. Its crystal system is monoclinic.